(1)
VASP calculation (meta-GGA SCAN) on a PBEsol-optimized structure of MnVO3.

a = 5.2101 Å, b = 7.3394 Å, c = 5.0474 Å
α = 90.00°, β = 90.00°, γ = 90.00°
Sites, in units of the cell vectors:
Mn 0.0545 0.2500 0.0127
Mn 0.4455 0.7500 0.5127
Mn 0.5545 0.2500 0.4873
Mn 0.9455 0.7500 0.9873
V 0.0000 0.0000 0.5000
V 0.0000 0.5000 0.5000
V 0.5000 0.0000 0.0000
V 0.5000 0.5000 0.0000
O 0.0497 0.7500 0.3765
O 0.1912 0.5635 0.8148
O 0.1912 0.9365 0.8148
O 0.3088 0.0635 0.3148
O 0.3088 0.4365 0.3148
O 0.4503 0.2500 0.8765
O 0.5497 0.7500 0.1235
O 0.6912 0.5635 0.6852
O 0.6912 0.9365 0.6852
O 0.8088 0.0635 0.1852
O 0.8088 0.4365 0.1852
O 0.9503 0.2500 0.6235

Calculated values
Space-group type: No. 62
Total moment in μB/f.u.: 6.00
D(E_F) in states/eV/atom: 0.27
Formation energy from raw total energies in eV per atom: -2.395

---

(2)
VASP calculation (meta-GGA SCAN) on a PBEsol-optimized structure of MnV2O4.

a = 9.1544 Å, b = 2.8146 Å, c = 10.4629 Å
α = 90.00°, β = 90.00°, γ = 90.00°
Sites, in units of the cell vectors:
Mn 0.2490 0.2500 0.1536
Mn 0.2510 0.7500 0.6536
Mn 0.7490 0.2500 0.3464
Mn 0.7510 0.7500 0.8464
V 0.0617 0.2500 0.3808
V 0.0902 0.2500 0.9000
V 0.4098 0.7500 0.4000
V 0.4383 0.7500 0.8808
V 0.5617 0.2500 0.1192
V 0.5902 0.2500 0.6000
V 0.9098 0.7500 0.1000
V 0.9383 0.7500 0.6192
O 0.0342 0.7500 0.7819
O 0.0899 0.2500 0.5696
O 0.1211 0.7500 0.0354
O 0.2060 0.7500 0.3263
O 0.2940 0.2500 0.8263
O 0.3789 0.2500 0.5354
O 0.4101 0.7500 0.0696
O 0.4658 0.2500 0.2819
O 0.5342 0.7500 0.7181
O 0.5899 0.2500 0.9304
O 0.6211 0.7500 0.4646
O 0.7060 0.7500 0.1737
O 0.7940 0.2500 0.6737
O 0.8789 0.2500 0.9646
O 0.9101 0.7500 0.4304
O 0.9658 0.2500 0.2181

Calculated values
Space-group type: No. 62
Total moment in μB/f.u.: 9.00
D(E_F) in states/eV/atom: 0.41
Formation energy from raw total energies in eV per atom: -2.411

---

(3)
VASP calculation (meta-GGA SCAN) on a PBEsol-optimized structure of Mn2VO4.

a = 5.9986 Å, b = 5.9986 Å, c = 5.9986 Å
α = 59.82°, β = 59.82°, γ = 59.82°
Sites, in units of the cell vectors:
Mn 0.0000 0.0000 0.0000
Mn 0.3718 0.3718 0.8754
Mn 0.3718 0.8754 0.3718
Mn 0.8754 0.3718 0.3718
V 0.3723 0.3723 0.3723
V 0.7433 0.7433 0.7433
O 0.1285 0.6155 0.6155
O 0.1349 0.1349 0.1349
O 0.1428 0.1428 0.5961
O 0.1428 0.5961 0.1428
O 0.5961 0.1428 0.1428
O 0.6155 0.1285 0.6155
O 0.6155 0.6155 0.1285
O 0.6171 0.6171 0.6171

Calculated values
Space-group type: No. 160
Total moment in μB/f.u.: 11.00
D(E_F) in states/eV/atom: 0.49
Formation energy from raw total energies in eV per atom: -2.259

---

(4)
VASP calculation (meta-GGA SCAN) on a PBEsol-optimized structure of MnVO4.

a = 4.4702 Å, b = 4.4702 Å, c = 2.8071 Å
α = 90.00°, β = 90.00°, γ = 90.61°
Sites, in units of the cell vectors:
Mn 0.0000 0.0000 0.0000
V 0.5000 0.5000 0.5000
O 0.1984 0.1984 0.5000
O 0.3009 0.6991 0.0000
O 0.6991 0.3009 0.0000
O 0.8016 0.8016 0.5000

Calculated values
Space-group type: No. 65
Total moment in μB/f.u.: 4.00
D(E_F) in states/eV/atom: 0.24
Formation energy from raw total energies in eV per atom: -2.387

---

(5)
VASP calculation (meta-GGA SCAN) on a PBEsol-optimized structure of Mn3V2O8.

a = 6.5814 Å, b = 6.5814 Å, c = 8.3243 Å
α = 90.00°, β = 90.00°, γ = 125.00°
Sites, in units of the cell vectors:
Mn 0.0000 0.0000 0.0000
Mn 0.1122 0.3878 0.2500
Mn 0.3878 0.1122 0.7500
Mn 0.5000 0.5000 0.5000
Mn 0.6122 0.8878 0.2500
Mn 0.8878 0.6122 0.7500
V 0.1206 0.8794 0.3821
V 0.3794 0.6206 0.8821
V 0.6206 0.3794 0.1179
V 0.8794 0.1206 0.6179
O 0.0007 0.9993 0.7524
O 0.1152 0.3488 0.4968
O 0.1512 0.3848 0.0032
O 0.2479 0.7521 0.2734
O 0.2521 0.7479 0.7734
O 0.3488 0.1152 0.5032
O 0.3848 0.1512 0.9968
O 0.4993 0.5007 0.2524
O 0.5007 0.4993 0.7476
O 0.6152 0.8488 0.0032
O 0.6512 0.8848 0.4968
O 0.7479 0.2521 0.2266
O 0.7521 0.2479 0.7266
O 0.8488 0.6152 0.9968
O 0.8848 0.6512 0.5032
O 0.9993 0.0007 0.2476

Calculated values
Space-group type: No. 64
Total moment in μB/f.u.: 15.00
Formation energy from raw total energies in eV per atom: -2.405

---

(6)
VASP calculation (meta-GGA SCAN) on a PBEsol-optimized structure of Mn5VO8.

a = 10.1202 Å, b = 10.1202 Å, c = 5.2863 Å
α = 98.89°, β = 98.89°, γ = 34.76°
Sites, in units of the cell vectors:
Mn 0.0000 0.0000 0.0000
Mn 0.1114 0.6254 0.7428
Mn 0.2487 0.7513 0.5000
Mn 0.3670 0.3670 0.2383
Mn 0.3746 0.8886 0.2572
Mn 0.5000 0.5000 0.0000
Mn 0.6254 0.1114 0.7428
Mn 0.6330 0.6330 0.7617
Mn 0.7513 0.2487 0.5000
Mn 0.8886 0.3746 0.2572
V 0.2139 0.2139 0.8019
V 0.7861 0.7861 0.1981
O 0.0525 0.5822 0.3720
O 0.0558 0.0558 0.3395
O 0.1829 0.1829 0.0953
O 0.2139 0.6672 0.1052
O 0.3084 0.3084 0.8668
O 0.3328 0.7861 0.8948
O 0.4178 0.9475 0.6280
O 0.4326 0.4326 0.6040
O 0.5674 0.5674 0.3960
O 0.5822 0.0525 0.3720
O 0.6672 0.2139 0.1052
O 0.6916 0.6916 0.1332
O 0.7861 0.3328 0.8948
O 0.8171 0.8171 0.9047
O 0.9442 0.9442 0.6605
O 0.9475 0.4178 0.6280

Calculated values
Space-group type: No. 12
Total moment in μB/f.u.: 24.00
D(E_F) in states/eV/atom: 0.18
Formation energy from raw total energies in eV per atom: -2.195

---

(7)
VASP calculation (meta-GGA SCAN) on a PBEsol-optimized structure of MnZn2WO6.

a = 5.5201 Å, b = 5.5201 Å, c = 5.5201 Å
α = 56.12°, β = 56.12°, γ = 56.12°
Sites, in units of the cell vectors:
Mn 0.0000 0.0000 0.0000
Zn 0.2409 0.2409 0.2409
Zn 0.7109 0.7109 0.7109
W 0.4986 0.4986 0.4986
O 0.1307 0.7568 0.4084
O 0.2975 0.6092 0.8795
O 0.4084 0.1307 0.7568
O 0.6092 0.8795 0.2975
O 0.7568 0.4084 0.1307
O 0.8795 0.2975 0.6092

Calculated values
Space-group type: No. 146
Total moment in μB/f.u.: 5.00
Formation energy from raw total energies in eV per atom: -1.944

---

(8)
VASP calculation (meta-GGA SCAN) on a PBEsol-optimized structure of MnZn2WO6.

a = 5.1890 Å, b = 5.2010 Å, c = 9.2809 Å
α = 90.00°, β = 122.76°, γ = 90.00°
Sites, in units of the cell vectors:
Mn 0.0000 0.0000 0.0000
Mn 0.0000 0.5000 0.5000
Zn 0.2289 0.0276 0.7410
Zn 0.2289 0.4724 0.2410
Zn 0.7711 0.5276 0.7590
Zn 0.7711 0.9724 0.2590
W 0.5000 0.0000 0.5000
W 0.5000 0.5000 0.0000
O 0.1511 0.0971 0.2686
O 0.1511 0.4029 0.7686
O 0.2327 0.6680 0.0534
O 0.2327 0.8320 0.5534
O 0.4314 0.1864 0.0841
O 0.4314 0.3136 0.5841
O 0.5686 0.6864 0.4159
O 0.5686 0.8136 0.9159
O 0.7673 0.1680 0.4466
O 0.7673 0.3320 0.9466
O 0.8489 0.5971 0.2314
O 0.8489 0.9029 0.7314

Calculated values
Space-group type: No. 14
Total moment in μB/f.u.: 5.00
Formation energy from raw total energies in eV per atom: -1.910

---

Number 1: uncorrected energy -13.283 eV/atom, V 193.01 Å³ per cell. Number 2: uncorrected energy -13.576 eV/atom, V 269.59 Å³ per cell. Number 3: uncorrected energy -13.533 eV/atom, V 152.00 Å³ per cell. Number 4: uncorrected energy -12.498 eV/atom, V 56.09 Å³ per cell. Number 5: uncorrected energy -13.143 eV/atom, V 295.37 Å³ per cell. Number 6: uncorrected energy -13.525 eV/atom, V 304.57 Å³ per cell. Number 7: uncorrected energy -17.180 eV/atom, V 108.25 Å³ per cell. Number 8: uncorrected energy -17.146 eV/atom, V 210.62 Å³ per cell.